! PBE-GGA Er2CuPt4, optimized geometry; values from VASP
! **E**: -0.2242 hartree per atom
! **ΔE_f**: -761 meV/atom
! **Size of the total moment**: 0.000 μB per formula unit
&SYSTEM
  ibrav = 0, nat = 14, ntyp = 3
/
ATOMIC_SPECIES
Er 167.26 Er.upf
Pt 195.08 Pt.upf
Cu 63.55 Cu.upf
CELL_PARAMETERS angstrom
-6.5114 0.3895 5.4255
2.2118 -4.2170 2.9572
1.7720 5.8516 1.7066
ATOMIC_POSITIONS angstrom
Er -2.4393 1.2566 3.6163
Pt -1.7858 -0.9988 7.8795
Pt 0.3642 0.9144 3.6884
Pt -3.2255 -2.8702 6.2873
Pt -4.3302 -0.7617 4.8076
Er 1.9223 -1.0467 2.3822
Pt -1.0740 -0.9574 2.0955
Pt -0.7417 3.0230 2.2098
Pt -2.8917 1.1097 6.4009
Cu -2.1498 -1.9138 4.1914
Cu 0.0000 0.0000 0.0000
Er 2.0615 2.6813 2.2816
Pt 0.0306 -3.0658 3.5751
Er -0.0883 0.7675 6.4730

---

! PBE-GGA ErCu3Pt4, optimized geometry; values from VASP
! **E**: -0.2050 hartree per atom
! **ΔE_f**: -452 meV/atom
! **Size of the total moment**: 0.000 μB per formula unit
&SYSTEM
  ibrav = 0, nat = 16, ntyp = 3
/
ATOMIC_SPECIES
Cu 63.55 Cu.upf
Pt 195.08 Pt.upf
Er 167.26 Er.upf
CELL_PARAMETERS angstrom
-2.6568 -1.0326 3.8202
2.2877 -5.3528 0.1441
6.5643 2.9499 5.3625
ATOMIC_POSITIONS angstrom
Cu 0.0000 0.0000 0.0000
Pt 1.1199 -4.2697 4.7331
Pt -0.1142 -1.3822 4.6554
Cu 1.7064 -2.3581 2.9635
Cu 0.7152 0.3776 2.6719
Cu 3.2822 1.4749 2.6812
Pt 3.6943 -3.1139 4.7010
Pt 6.3095 -2.0534 4.6714
Pt 5.0754 0.8342 4.5937
Pt 2.5010 -0.3217 4.6258
Er 4.4260 -1.2015 2.7533
Pt -0.7812 -1.7966 1.9446
Cu 4.4889 -1.0774 6.3633
Er 1.1439 -2.6764 0.0721
Pt 0.4122 -4.5888 2.0198
Cu 3.1923 1.5396 6.5108